Record 1
Te2SeI | PBE | optimized geometry

The structure belongs to space group R-3m (No. 166, hexagonal axes); the cell edges are 3.3304, 3.3304 and 40.8944 Å and the angles 90.00°, 90.00° and 120.00°. The inequivalent atoms are Te at (0.0000, 0.0000, 0.0680), Se at (0.0000, 0.0000, 0.0000) and I at (0.0000, 0.0000, 0.5000).

Its uncorrected formation energy is 1.26 eV/f.u. Its total magnetization is 0.00 μB/cell. Its calculated total energy is -2.515 eV/atom. The volume comes out at 392.8 Å³/cell. The energy above the most stable polymorph in this dataset is 288 meV per atom.

=====

Record 2
ThHgPdN | PBE | optimized geometry

The structure belongs to space group P4/nmm (No. 129, origin choice 2); the cell edges are 4.253, 4.253 and 8.808 Å and the angles 90.00°, 90.00° and 90.00°. The inequivalent atoms are Th at (0.250, 0.250, 0.123), Hg at (0.250, 0.750, 0.500), Pd at (0.250, 0.250, 0.710) and N at (0.250, 0.750, 0.000).

Its uncorrected formation energy is -3.42 eV/f.u. Its total magnetization is 0.00 μB/cell. Its calculated total energy is -6.164 eV/atom. The volume comes out at 159.3 Å³/cell.